Density functional theory data (PBE with a Hubbard U) for an optimized crystal structure of TmW4O12.

Values from the calculation:
uncorrected energy = -7.656 eV/atom
space-group type = No. 71

Unit cell a=6.677 b=6.677 c=6.677 alpha=111.71 beta=108.44 gamma=108.30
Sites, in units of the cell vectors:
Tm 0.000 0.000 0.000
W 0.000 0.000 0.500
W 0.000 0.500 0.000
W 0.500 0.000 0.000
W 0.500 0.500 0.500
O 0.003 0.706 0.298
O 0.238 0.190 0.428
O 0.238 0.810 0.048
O 0.242 0.052 0.810
O 0.242 0.432 0.190
O 0.408 0.706 0.702
O 0.592 0.294 0.298
O 0.758 0.568 0.810
O 0.758 0.948 0.190
O 0.762 0.190 0.952
O 0.762 0.810 0.572
O 0.997 0.294 0.702